Hg2MoW, relaxed, DFT PBE; formation energy = 0.527 eV per atom; distance to the lowest polymorph of the same formula = 82.2 meV per atom; DOS at the Fermi energy = 0.732 states/eV per atom
1.0
3.232 0.000 0.000
0.000 3.232 0.000
0.000 0.000 7.432
Hg Mo W
2 1 1
Cartesian
0.000 0.000 0.000
1.616 1.616 2.158
0.000 0.000 4.167
1.616 1.616 5.428